Here is a relaxed Eu2WO6 crystal from Alexandria. Energies are from GGA+U.

## Properties
**Magnetization**: 48.0 Bohr magnetons per cell
**Electronic total energy**: -8.887 eV/atom
**Space group**: No. 15

```
Eu2WO6
1.0
-4.434 1.845 -2.783
-4.797 -8.391 -2.288
-7.425 -1.598 6.401
Eu O W
8 24 4
direct
0.250 0.374 0.626 Eu
0.750 0.626 0.374 Eu
0.250 0.886 0.114 Eu
0.750 0.114 0.886 Eu
0.393 0.939 0.710 Eu
0.607 0.061 0.290 Eu
0.107 0.290 0.061 Eu
0.893 0.710 0.939 Eu
0.078 0.149 0.681 O
0.922 0.851 0.319 O
0.422 0.319 0.851 O
0.578 0.681 0.149 O
0.391 0.819 0.377 O
0.609 0.181 0.623 O
0.109 0.623 0.181 O
0.891 0.377 0.819 O
0.143 0.781 0.686 O
0.857 0.219 0.314 O
0.357 0.314 0.219 O
0.643 0.686 0.781 O
0.219 0.040 0.472 O
0.781 0.960 0.528 O
0.281 0.528 0.960 O
0.719 0.472 0.040 O
0.025 0.628 0.539 O
0.975 0.372 0.461 O
0.475 0.461 0.372 O
0.525 0.539 0.628 O
0.573 0.921 0.900 O
0.427 0.079 0.100 O
0.927 0.100 0.079 O
0.073 0.900 0.921 O
0.079 0.817 0.499 W
0.921 0.183 0.501 W
0.421 0.501 0.183 W
0.579 0.499 0.817 W
```